Entry 1:
Here is an optimized crystal structure of TlCdNiSn2 from Alexandria via LeMat-Bulk. Energies are from GGA-PBE.

Cell: 4.9956 4.9956 5.1364 Å, 90.00 90.00 90.00°
Positions (direct):
Tl: 0.0000 0.0000 0.0000
Cd: 0.5000 0.5000 0.0000
Ni: 0.5000 0.5000 0.5000
Sn: 0.0000 0.5000 0.5000
Sn: 0.5000 0.0000 0.5000

Calculated values
space-group type: P4/mmm (123)
size of the total moment: 0.000 μB/cell
DFT formation energy: 0.024 eV per atom
ΔE to the lowest computed polymorph: 0 meV per atom
D(E_F): 1.4 states/eV per cell

Entry 2:
Here is an optimized crystal structure of Sr2CdNi2 from Alexandria via LeMat-Bulk. Energies are from GGA-PBE.

Cell: 5.8335 5.8335 7.6463 Å, 90.00 90.00 90.00°
Positions (direct):
Sr: 0.0000 0.5000 0.2500
Sr: 0.0000 0.5000 0.7500
Sr: 0.5000 0.0000 0.2500
Sr: 0.5000 0.0000 0.7500
Cd: 0.0000 0.0000 0.0000
Cd: 0.5000 0.5000 0.5000
Ni: 0.0000 0.0000 0.3468
Ni: 0.0000 0.0000 0.6532
Ni: 0.5000 0.5000 0.1532
Ni: 0.5000 0.5000 0.8468

Calculated values
space-group type: I4/mmm (139)
size of the total moment: 0.000 μB/cell
DFT formation energy: 0.068 eV per atom
D(E_F): 7.9 states/eV per cell

no.,DFT total energy (eV per atom)
1,-3.389
2,-3.101